1) A relaxed structure of SiP2RuO. Source: Alexandria via LeMat-Bulk, functional GGA-PBE.

Computed properties:
Space-group type = P4/mmm (123)
Magnetization = 0.0 μB per cell

Lattice parameters (Å, degrees): 4.761 4.761 3.640 90.00 90.00 90.00
Positions (direct):
Si  0.000  0.000  0.000
P  0.000  0.500  0.500
P  0.500  0.000  0.500
Ru  0.500  0.500  0.500
O  0.500  0.500  0.000

---

2) A relaxed structure of SiP2RuO. Source: Alexandria via LeMat-Bulk, functional GGA-PBE.

Computed properties:
Space-group type = P4/mmm (123)
Magnetization = 0.0 μB per cell

Lattice parameters (Å, degrees): 4.676 4.676 3.178 90.00 90.00 90.00
Positions (direct):
Si  0.000  0.000  0.000
P  0.000  0.500  0.000
P  0.500  0.000  0.000
Ru  0.500  0.500  0.500
O  0.000  0.000  0.500

---

Least stable = 1)